This record from Alexandria via LeMat-Bulk describes a geometry-optimized MnCuSb structure. The functional is PBE.

extended XYZ file:
```
3
Lattice="-2.686 1.506 0.858 0.280 -3.152 0.455 2.351 1.014 5.577" Properties=species:S:1:pos:R:3 pbc="T T T"
Cu 0.049 0.021 0.116
Mn -0.960 0.272 2.474
Sb 0.855 -0.925 4.300
```

Output
Distance to the lowest polymorph of the same formula   268 meV per atom
Energy   -5.43 eV per atom
Formation energy from raw total energies   1.09 eV/f.u.
Space group   P3m1 (156)
Crystal system   trigonal
Total magnetization   1.25 μB per atom

***

This record from Alexandria via LeMat-Bulk describes a geometry-optimized Ce7PtBr12 structure. The functional is PBE.

extended XYZ file:
```
20
Lattice="9.555 -0.172 -0.258 -2.822 9.130 -0.258 -2.822 -3.755 8.326" Properties=species:S:1:pos:R:3 pbc="T T T"
Ce -0.896 2.554 0.925
Ce 2.702 0.911 0.217
Ce 4.807 2.650 6.886
Ce 3.787 6.101 5.098
Ce 0.124 -0.897 2.713
Ce 1.209 4.292 7.593
Ce 1.955 2.602 3.905
Br 4.835 3.471 3.968
Br 1.989 1.501 6.705
Br 3.022 -0.087 3.079
Br -0.063 -1.936 5.653
Br -1.842 5.447 1.624
Br 0.889 5.291 4.731
Br -0.924 1.733 3.843
Br 3.974 7.140 2.158
Br 5.745 1.597 0.390
Br 1.921 3.703 1.105
Br -1.834 3.607 7.420
Br 5.753 -0.244 6.186
Pt 0.000 0.000 0.000
```

Output
Energy   -4.96 eV per atom
Formation energy from raw total energies   -31.46 eV/f.u.
Space group   R-3 (148)
Crystal system   trigonal
Total magnetization   0.42 μB per atom

***

This record from Alexandria via LeMat-Bulk describes a geometry-optimized Pm2HoPaAs4 structure. The functional is PBE.

extended XYZ file:
```
8
Lattice="-0.311 2.289 3.467 0.964 -5.899 3.981 6.410 3.018 -1.416" Properties=species:S:1:pos:R:3 pbc="T T T"
Pm 3.049 2.653 1.025
Pm 3.687 -1.441 1.282
Ho 0.000 0.000 0.000
Pa 0.326 -1.805 3.724
As 2.248 -3.673 2.627
As 5.449 -0.986 3.643
As 5.126 0.791 -0.062
As 1.613 0.393 2.389
```

Output
ΔH_f (0 K)   -1.4172 eV/atom
Energy   -6.69 eV per atom
Space group   P2/m (10)
Crystal system   monoclinic
Total magnetization   0.00 μB per atom

***

This record from Alexandria via LeMat-Bulk describes a geometry-optimized BaAs2Cl structure. The functional is PBE.

extended XYZ file:
```
4
Lattice="0.000 3.816 3.816 3.816 0.000 3.816 3.816 3.816 0.000" Properties=species:S:1:pos:R:3 pbc="T T T"
As 5.724 5.724 5.724
As 1.908 1.908 1.908
Ba 3.816 3.816 3.816
Cl 0.000 0.000 0.000
```

Output
Distance to the lowest polymorph of the same formula   1049 meV per atom
Energy   -3.28 eV per atom
Formation energy from raw total energies   -0.05 eV/f.u.
Space group   Fm-3m (225)
Crystal system   cubic
Total magnetization   0.00 μB per atom

***

This record from Alexandria via LeMat-Bulk describes a geometry-optimized InPF structure. The functional is PBE.

extended XYZ file:
```
6
Lattice="-2.061 -0.616 4.176 -1.251 -2.307 -0.958 8.352 -3.252 1.000" Properties=species:S:1:pos:R:3 pbc="T T T"
F 3.326 -3.936 1.061
F 1.713 -2.240 3.157
In 1.588 -2.712 0.384
In 3.451 -3.463 3.834
P -1.200 -1.325 0.685
P -2.112 -1.598 2.532
```

Output
Energy   -4.12 eV per atom
Formation energy from raw total energies   -2.34 eV/f.u.
Space group   Immm (71)
Crystal system   orthorhombic
Total magnetization   0.00 μB per atom

***

This record from Alexandria via LeMat-Bulk describes a geometry-optimized LaSbTe structure. The functional is PBE.

extended XYZ file:
```
3
Lattice="-0.404 2.583 4.598 -1.269 -2.632 4.409 3.629 -0.739 3.776" Properties=species:S:1:pos:R:3 pbc="T T T"
La 0.000 0.000 0.000
Sb 0.978 -0.394 6.392
Te 1.467 -0.592 9.588
```

Output
Energy   -4.66 eV per atom
Formation energy from raw total energies   -1.78 eV/f.u.
Space group   F-43m (216)
Crystal system   cubic
Total magnetization   0.00 μB per atom

***

This record from Alexandria via LeMat-Bulk describes a geometry-optimized Pm2TmOs structure. The functional is PBE.

extended XYZ file:
```
4
Lattice="-2.160 -0.756 2.578 -2.396 -0.953 -2.288 3.365 -8.942 0.198" Properties=species:S:1:pos:R:3 pbc="T T T"
Pm 2.756 -7.322 0.162
Pm 0.610 -1.620 0.036
Os -2.278 -0.854 0.145
Tm -0.596 -5.325 0.244
```

Output
Distance to the lowest polymorph of the same formula   244 meV per atom
ΔH_f (0 K)   0.0646 eV/atom
Energy   -6.24 eV per atom
Space group   P4/mmm (123)
Crystal system   tetragonal
Total magnetization   0.00 μB per atom

***

This record from Alexandria via LeMat-Bulk describes a geometry-optimized Tb12MgPd5 structure. The functional is PBE.

extended XYZ file:
```
18
Lattice="7.967 -0.092 -3.162 -4.150 7.114 -2.377 -0.119 0.092 8.571" Properties=species:S:1:pos:R:3 pbc="T T T"
Tb 0.767 5.852 2.480
Tb -0.242 2.953 0.352
Tb 0.979 2.343 3.646
Tb 2.719 4.771 -0.614
Tb 6.283 0.208 -0.717
Tb 2.932 1.262 0.552
Tb -0.513 4.863 5.811
Tb 6.289 1.262 2.866
Tb -2.584 6.906 3.750
Tb -2.591 5.852 0.167
Tb 4.212 2.251 -2.779
Tb 3.941 4.161 2.680
Pd 2.485 4.572 -3.606
Pd 1.332 2.450 -1.932
Pd 0.336 6.165 -0.488
Pd 0.000 0.000 0.000
Pd 3.362 0.948 3.520
Mg -2.134 3.603 3.097
```

Output
ΔH_f (0 K)   -0.5012 eV/atom
Energy   -5.12 eV per atom
Space group   Immm (71)
Crystal system   orthorhombic
Total magnetization   0.00 μB per atom

***

This record from Alexandria via LeMat-Bulk describes a geometry-optimized CaMgCl structure. The functional is PBE.

extended XYZ file:
```
6
Lattice="3.708 0.000 0.000 -1.854 3.229 0.000 0.000 0.000 15.875" Properties=species:S:1:pos:R:3 pbc="T T T"
Mg 0.000 2.511 7.938
Mg 1.854 0.005 0.000
Cl 0.000 1.087 1.542
Cl 0.000 1.087 14.333
Ca 1.854 1.423 5.304
Ca 1.854 1.423 10.572
```

Output
Distance to the lowest polymorph of the same formula   201 meV per atom
Energy   -2.51 eV per atom
Formation energy from raw total energies   -2.08 eV/f.u.
Space group   Amm2 (38)
Crystal system   orthorhombic
Total magnetization   0.00 μB per atom

***

This record from Alexandria via LeMat-Bulk describes a geometry-optimized EuGdAlAu structure. The functional is PBE.

extended XYZ file:
```
4
Lattice="5.247 0.000 0.000 2.623 4.544 0.000 2.623 1.515 4.284" Properties=species:S:1:pos:R:3 pbc="T T T"
Al 5.247 3.029 2.142
Eu 2.623 1.515 1.071
Gd 7.870 4.544 3.213
Au 0.000 0.000 0.000
```

Output
ΔH_f (0 K)   -0.4871 eV/atom
Energy   -8.33 eV per atom
Space group   F-43m (216)
Crystal system   cubic
Total magnetization   3.50 μB per atom

***

This record from Alexandria via LeMat-Bulk describes a geometry-optimized EuCdAgPd structure. The functional is PBE.

extended XYZ file:
```
4
Lattice="-1.606 -3.088 -3.579 0.390 -4.940 0.606 -4.097 -2.756 0.735" Properties=species:S:1:pos:R:3 pbc="T T T"
Pd -2.656 -5.392 -1.119
Ag 0.000 0.000 0.000
Cd -3.985 -8.088 -1.678
Eu -1.328 -2.696 -0.559
```

Output
ΔH_f (0 K)   -0.3556 eV/atom
Energy   -5.16 eV per atom
Space group   F-43m (216)
Crystal system   cubic
Total magnetization   1.75 μB per atom

***

This record from Alexandria via LeMat-Bulk describes a geometry-optimized LaCe3Os2 structure. The functional is PBE.

extended XYZ file:
```
12
Lattice="-3.473 1.292 -3.537 4.478 -2.309 -5.242 -3.260 -7.429 0.487" Properties=species:S:1:pos:R:3 pbc="T T T"
Ce -3.992 -6.104 -2.019
Ce 0.495 -3.479 -1.756
Ce 0.650 -1.782 -4.998
Ce 1.781 -6.804 -4.235
Ce -0.801 -8.015 -2.141
Ce 4.210 -2.852 -5.176
Os -1.114 -1.366 -3.115
Os -1.238 -5.793 -0.900
Os -0.924 -7.191 -5.429
Os 2.344 -3.887 -3.722
La 1.364 -4.771 -6.792
La -1.402 -4.818 -4.093
```

Output
Distance to the lowest polymorph of the same formula   0 meV per atom
ΔH_f (0 K)   -0.1615 eV/atom
Energy   -7.69 eV per atom
Space group   Pmc2_1 (26)
Crystal system   orthorhombic
Total magnetization   0.21 μB per atom